Record 1
VASP calculation (PBE) on a geometry-optimized Ca3PrZn8 structure.

Results
magnetization: 0.000 μB per atom
total energy: -2.0159 eV per atom
space group: R3m, No. 160

Unit cell a=5.5765 b=5.5765 c=9.6722 alpha=73.25 beta=73.25 gamma=60.00
With the nearest neighbours (Å) after each atom.
Positions (direct):
Zn: 0.9393 0.4367 0.1872  6 Zn 2.77-2.80
Zn: 0.9371 0.9371 0.6882  6 Zn 2.77-2.80
Zn: 0.6880 0.6880 0.9361  6 Zn 2.77-2.80
Zn: 0.9371 0.4376 0.6882  6 Zn 2.77-2.80
Zn: 0.4367 0.4367 0.1872  6 Zn 2.77-2.80
Zn: 0.4367 0.9393 0.1872  6 Zn 2.77-2.80
Zn: 0.1875 0.1875 0.4375  6 Zn 2.79-2.80
Zn: 0.4376 0.9371 0.6882  6 Zn 2.77-2.80
Ca: 0.0008 0.0008 0.9977  12 Zn 3.25-3.28, 3 Ca 3.40, 1 Pr 3.42
Ca: 0.4993 0.4993 0.5021  12 Zn 3.26-3.30, 1 Ca 3.42, 3 Pr 3.43
Ca: 0.3743 0.3743 0.8772  12 Zn 3.25-3.28, 4 Ca 3.40-3.42
Pr: 0.8756 0.8756 0.3732  12 Zn 3.26-3.29, 4 Ca 3.42-3.43


Record 2
VASP calculation (PBE) on a geometry-optimized BeAs2Pd structure.

Results
magnetization: 0.000 μB per atom
total energy: -4.5127 eV per atom
space group: I-42d, No. 122

Unit cell a=5.4619 b=5.4619 c=6.4976 alpha=65.15 beta=65.15 gamma=90.00
With the nearest neighbours (Å) after each atom.
Positions (direct):
As: 0.5889 0.1250 0.2500  2 Be 2.22, 2 Pd 2.45
As: 0.1611 0.6250 0.2500  2 Be 2.22, 2 Pd 2.45
As: 0.3750 0.4111 0.7500  2 Be 2.22, 2 Pd 2.45
As: 0.8750 0.8389 0.7500  2 Be 2.22, 2 Pd 2.45
Be: 0.5000 0.5000 0.0000  4 As 2.22
Be: 0.2500 0.7500 0.5000  4 As 2.22
Pd: 0.0000 0.0000 0.0000  4 As 2.45
Pd: 0.7500 0.2500 0.5000  4 As 2.45


Record 3
VASP calculation (PBE) on a geometry-optimized Be2InSiO structure.

Results
magnetization: 0.000 μB per atom
total energy: -3.9247 eV per atom
space group: P4/mmm, No. 123

Unit cell a=4.6611 b=3.4498 c=4.6611 alpha=90.00 beta=90.00 gamma=90.00
With the nearest neighbours (Å) after each atom.
Positions (direct):
Be: 0.5000 0.0000 0.0000  2 Si 2.33
Be: 0.0000 0.0000 0.5000  2 Si 2.33
O: 0.0000 0.5000 0.0000  2 Si 1.72
Si: 0.0000 0.0000 0.0000  2 O 1.72
In: 0.5000 0.5000 0.5000  8 Be 2.90


Record 4
VASP calculation (PBE) on a geometry-optimized Ba2SnPF structure.

Results
magnetization: 0.000 μB per atom
total energy: -3.8474 eV per atom
space group: P4/mmm, No. 123

Unit cell a=6.3832 b=4.1210 c=6.3832 alpha=90.00 beta=90.00 gamma=90.00
With the nearest neighbours (Å) after each atom.
Positions (direct):
Ba: 0.0000 0.0000 0.5000  2 P 3.19
Ba: 0.5000 0.0000 0.0000  2 P 3.19
P: 0.0000 0.0000 0.0000  2 F 2.06
Sn: 0.5000 0.5000 0.5000  8 Ba 3.80, 2 Sn 4.12
F: 0.0000 0.5000 0.0000  2 P 2.06


Record 5
VASP calculation (PBE) on a geometry-optimized Mg7Ag2Pd2 structure.

Results
magnetization: 0.000 μB per atom
total energy: -2.6697 eV per atom
space group: Cmmm, No. 65

Unit cell a=6.2013 b=6.3902 c=6.2013 alpha=90.01 beta=100.79 gamma=89.99
With the nearest neighbours (Å) after each atom.
Positions (direct):
Mg: 0.5000 0.2561 0.5000  2 Pd 2.67, 2 Ag 2.96
Mg: 0.4999 0.7374 0.0000  2 Pd 2.61, 2 Ag 2.88
Mg: 0.0000 0.0000 0.0000  2 Pd 2.67
Mg: 0.0000 0.2626 0.4999  2 Pd 2.61, 2 Ag 2.88
Mg: 0.0000 0.7374 0.5001  2 Pd 2.61, 2 Ag 2.88
Mg: 0.5000 0.7439 0.5000  2 Pd 2.67, 2 Ag 2.96
Mg: 0.5001 0.2626 0.0000  2 Pd 2.61, 2 Ag 2.88
Pd: 0.7209 0.9999 0.2791  7 Mg 2.61-2.67
Pd: 0.2791 0.0001 0.7209  7 Mg 2.61-2.67
Ag: 0.8185 0.5000 0.8185  1 Ag 2.87, 6 Mg 2.88-2.96
Ag: 0.1815 0.5000 0.1815  1 Ag 2.87, 6 Mg 2.88-2.96


Record 6
VASP calculation (PBE) on a geometry-optimized AcNdTlIn structure.

Results
magnetization: 0.000 μB per atom
total energy: -3.8875 eV per atom
space group: F-43m, No. 216

Unit cell a=5.6807 b=5.6807 c=5.6807 alpha=60.00 beta=60.00 gamma=60.00
With the nearest neighbours (Å) after each atom.
Positions (direct):
Nd: 0.7500 0.7500 0.7500  4 In 3.48, 4 Tl 3.48
Ac: 0.2500 0.2500 0.2500  4 In 3.48, 4 Tl 3.48
Tl: 0.0000 0.0000 0.0000  4 Nd 3.48, 4 Ac 3.48
In: 0.5000 0.5000 0.5000  4 Nd 3.48, 4 Ac 3.48


Record 7
VASP calculation (PBE) on a geometry-optimized RbSbTe3 structure.

Results
magnetization: 0.000 μB per atom
total energy: -3.2825 eV per atom
space group: P2_1, No. 4

Unit cell a=7.9614 b=7.5206 c=7.3679 alpha=90.00 beta=93.76 gamma=90.00
With the nearest neighbours (Å) after each atom.
Positions (direct):
Te: 0.4143 0.4496 0.2378  1 Sb 2.75
Te: 0.5857 0.9496 0.7622  1 Sb 2.75
Te: 0.9800 0.9707 0.2250  1 Te 2.87, 1 Sb 2.89
Te: 0.0200 0.4707 0.7750  1 Te 2.87, 1 Sb 2.89
Te: 0.1408 0.8194 0.6920  1 Sb 2.86, 1 Te 2.87
Te: 0.8592 0.3194 0.3080  1 Sb 2.86, 1 Te 2.87
Rb: 0.4812 0.9502 0.2484  7 Te 3.73-4.10
Rb: 0.5188 0.4502 0.7516  7 Te 3.73-4.10
Sb: 0.9113 0.0600 0.8458  3 Te 2.75-2.89
Sb: 0.0887 0.5600 0.1542  3 Te 2.75-2.89


Record 8
VASP calculation (PBE) on a geometry-optimized RbSbMo3 structure.

Results
magnetization: 1.351 μB per atom
total energy: -5.4452 eV per atom
space group: Pm-3m, No. 221

Unit cell a=5.2189 b=5.2189 c=5.2189 alpha=90.00 beta=90.00 gamma=90.00
With the nearest neighbours (Å) after each atom.
Positions (direct):
Sb: 0.0000 0.0000 0.0000  6 Mo 2.61
Mo: 0.0000 0.0000 0.5000  2 Sb 2.61
Mo: 0.5000 0.0000 0.0000  2 Sb 2.61
Mo: 0.0000 0.5000 0.0000  2 Sb 2.61
Rb: 0.5000 0.5000 0.5000  12 Mo 3.69


Record 9
VASP calculation (PBE) on a geometry-optimized InP2Cl structure.

Results
magnetization: 0.000 μB per atom
total energy: -3.2587 eV per atom
space group: I-42d, No. 122

Unit cell a=5.4464 b=5.4464 c=7.9625 alpha=70.00 beta=70.00 gamma=90.00
With the nearest neighbours (Å) after each atom.
Positions (direct):
P: 0.5989 0.1250 0.2500  2 Cl 2.53, 2 In 2.67
P: 0.8750 0.8489 0.7500  2 Cl 2.53, 2 In 2.67
P: 0.3750 0.4011 0.7500  2 Cl 2.53, 2 In 2.67
P: 0.1511 0.6250 0.2500  2 Cl 2.53, 2 In 2.67
In: 0.7500 0.2500 0.5000  4 P 2.67
In: 0.0000 0.0000 0.0000  4 P 2.67
Cl: 0.5000 0.5000 0.0000  4 P 2.53
Cl: 0.2500 0.7500 0.5000  4 P 2.53


Record 10
VASP calculation (PBE) on a geometry-optimized K4CeU3Se8 structure.

Results
magnetization: 0.625 μB per atom
total energy: -5.8498 eV per atom
space group: R-3m, No. 166

Unit cell a=8.4972 b=9.1788 c=8.4975 alpha=117.57 beta=120.00 gamma=90.00
With the nearest neighbours (Å) after each atom.
Positions (direct):
Se: 0.2644 0.2932 0.5288  3 U 2.93
Se: 0.7607 0.2903 0.5214  2 U 2.93, 1 Ce 2.98
Se: 0.7356 0.7068 0.4712  3 U 2.93
Se: 0.2689 0.2904 0.0296  2 U 2.93, 1 Ce 2.98
Se: 0.7311 0.7096 0.9704  2 U 2.93, 1 Ce 2.98
Se: 0.2393 0.7097 0.4786  2 U 2.93, 1 Ce 2.98
Se: 0.7607 0.2904 0.0296  2 U 2.93, 1 Ce 2.98
Se: 0.2393 0.7096 0.9704  2 U 2.93, 1 Ce 2.98
U: 0.5000 0.5000 0.5000  6 Se 2.93
U: 0.0000 0.5000 0.5000  6 Se 2.93
U: 0.5000 0.5000 0.0000  6 Se 2.93
K: 0.5000 0.0000 0.5000  6 Se 3.35
K: 0.5000 0.0000 0.0000  6 Se 3.30
K: 0.0000 0.0000 0.5000  6 Se 3.35
K: 0.0000 0.0000 0.0000  6 Se 3.35
Ce: 0.0000 0.5000 0.0000  6 Se 2.98


Record 11
VASP calculation (PBE) on a geometry-optimized K2LaSb structure.

Results
magnetization: 0.000 μB per atom
total energy: -2.8621 eV per atom
space group: Pmmm, No. 47

Unit cell a=3.8112 b=6.0170 c=6.7954 alpha=90.00 beta=90.00 gamma=90.00
With the nearest neighbours (Å) after each atom.
Positions (direct):
K: 0.0000 0.0000 0.9746  1 K 3.05
K: 0.0000 0.0000 0.5254  1 K 3.05
La: 0.5000 0.5000 0.2500  2 Sb 3.40
Sb: 0.5000 0.5000 0.7500  2 La 3.40


Record 12
VASP calculation (PBE) on a geometry-optimized Sb2RuPt structure.

Results
magnetization: 0.052 μB per atom
total energy: -6.0286 eV per atom
space group: Pm, No. 6

Unit cell a=4.0761 b=3.5299 c=5.8330 alpha=66.45 beta=90.00 gamma=90.00
With the nearest neighbours (Å) after each atom.
Positions (direct):
Sb: 0.5000 0.2543 0.3287  4 Pt 2.74-2.78, 2 Ru 2.77-2.88
Sb: 0.0000 0.0006 0.9219  4 Ru 2.75-2.77, 2 Pt 2.76-2.87
Ru: 0.5000 0.5705 0.8110  6 Sb 2.75-2.88, 2 Pt 2.89
Pt: 0.0000 0.6746 0.4384  6 Sb 2.74-2.87, 2 Ru 2.89